Computed, not measured: crystalline CaHoSb2 at its relaxed geometry at the GGA-PBE level of DFT.

Output
The relative energy among the computed polymorphs is 79 meV per atom. Its formation energy (no corrections) is -840 meV/atom.

Unit cell a=4.5866 b=4.5866 c=21.0838 alpha=90.00 beta=90.00 gamma=120.00
Space group R3m (No. 160, hexagonal axes)
One atom of each set of equivalent atoms:
Ca (0.0000, 0.0000, 0.0000) [3 per cell]
Ho (0.0000, 0.0000, 0.1735) [3 per cell]
Sb (0.0000, 0.0000, 0.4236) [3 per cell]
Sb (0.0000, 0.0000, 0.5820) [3 per cell]


Computed, not measured: crystalline CdIn6Ga2 at its relaxed geometry at the GGA-PBE level of DFT.

Output
As for the formation energy from the elements: 0.04 eV/atom.

Unit cell a=3.2874 b=3.2874 c=24.3754 alpha=90.00 beta=90.00 gamma=120.00
Space group P-6m2 (No. 187)
One atom of each set of equivalent atoms:
Cd (0.0000, 0.0000, 0.0000) [1 per cell]
In (0.0000, 0.0000, 0.2279) [2 per cell]
In (0.0000, 0.0000, 0.4382) [2 per cell]
In (0.6667, 0.3333, 0.1111) [2 per cell]
Ga (0.6667, 0.3333, 0.3344) [2 per cell]


Computed, not measured: crystalline KPb at its relaxed geometry at the GGA-PBE level of DFT.

Output
The relative energy among the computed polymorphs is 0 meV per atom. As for the formation energy from the elements: -0.24 eV/atom.

Unit cell a=11.636 b=11.636 c=19.137 alpha=90.00 beta=90.00 gamma=90.00
Space group I4_1/acd (No. 142, origin choice 2)
One atom of each set of equivalent atoms:
K (0.123, 0.127, 0.125) [16 per cell]
K (0.131, 0.000, 0.750) [16 per cell]
Pb (0.062, 0.130, 0.934) [32 per cell]


Computed, not measured: crystalline SrBeNi at its relaxed geometry at the GGA-PBE level of DFT.

Output
The relative energy among the computed polymorphs is 641 meV per atom. As for the formation energy from the elements: 0.55 eV/atom.

Unit cell a=6.400 b=6.400 c=6.400 alpha=90.00 beta=90.00 gamma=90.00
Space group F-43m (No. 216)
One atom of each set of equivalent atoms:
Sr (0.000, 0.000, 0.000) [4 per cell]
Be (0.000, 0.000, 0.500) [4 per cell]
Ni (0.250, 0.250, 0.750) [4 per cell]


Computed, not measured: crystalline HgPd2Se at its relaxed geometry at the GGA-PBE level of DFT.

Output
Its formation energy (no corrections) is -82 meV/atom.

Unit cell a=4.655 b=4.655 c=3.278 alpha=90.00 beta=90.00 gamma=90.00
Space group P4/mmm (No. 123)
One atom of each set of equivalent atoms:
Hg (0.000, 0.000, 0.000) [1 per cell]
Pd (0.000, 0.500, 0.500) [2 per cell]
Se (0.500, 0.500, 0.000) [1 per cell]


Computed, not measured: crystalline La4Pm2DyTm at its relaxed geometry at the GGA-PBE level of DFT.

Output
As for the formation energy from the elements: 0.02 eV/atom.

Unit cell a=5.213 b=5.249 c=10.146 alpha=90.00 beta=90.04 gamma=90.00
Space group P2/m (No. 10)
One atom of each set of equivalent atoms:
La (0.000, 0.000, 0.250) [2 per cell]
La (0.499, 0.500, 0.249) [2 per cell]
Pm (0.000, 0.500, 0.500) [1 per cell]
Pm (0.500, 0.000, 0.000) [1 per cell]
Dy (0.500, 0.000, 0.500) [1 per cell]
Tm (0.000, 0.500, 0.000) [1 per cell]


Number 1: calculated density 5.82 g/cm³. Number 2: calculated density 6.85 g/cm³. Number 3: calculated density 5.05 g/cm³. Number 4: calculated density 3.94 g/cm³. Number 5: calculated density 11.51 g/cm³. Number 6: calculated density 7.04 g/cm³.